# MnPtI2N PBE-GGA relaxed
data_MnPtI2N
_chemical_formula_sum 'Mn1 Pt1 I2 N1'
_cell_length_a 5.3727
_cell_length_b 5.3727
_cell_length_c 3.4902
_cell_angle_alpha 90.00
_cell_angle_beta 90.00
_cell_angle_gamma 90.00
_space_group_name_H-M_alt 'P 4/m m m'
_space_group_IT_number 123
_space_group_name_Hall '-P 4 2'
loop_
_atom_site_label
_atom_site_fract_x
_atom_site_fract_y
_atom_site_fract_z
Mn1 0.0000 0.0000 0.0000
Pt1 0.5000 0.5000 0.5000
I1 0.0000 0.5000 0.0000
N1 0.0000 0.0000 0.5000
# energy above the most stable polymorph in this dataset = 0 meV/atom
# E_form (uncorrected) = 0.613 eV per atom
# DOS at the Fermi energy = 4.5 states/eV/cell
# total DFT energy (no corrections) = -4.714 eV per atom